# KTl2Cl PBE relaxed
# Uncorrected energy = -2.23 eV per atom
# Formation energy without anion corrections = -0.31 eV per atom
data_KTl2Cl
_chemical_formula_sum 'K2 Tl4 Cl2'
_cell_length_a 4.231
_cell_length_b 6.561
_cell_length_c 10.549
_cell_angle_alpha 90.00
_cell_angle_beta 90.00
_cell_angle_gamma 90.00
_symmetry_space_group_name_H-M 'C m m m'
_symmetry_Int_Tables_number 65
_symmetry_space_group_name_Hall '-C 2 2'
loop_
_atom_site_label
_atom_site_type_symbol
_atom_site_fract_x
_atom_site_fract_y
_atom_site_fract_z
K1 K 0.000 0.000 0.000
Tl1 Tl 0.000 0.500 0.294
Cl1 Cl 0.000 0.000 0.500